! SrZr3Al PBE optimized geometry; values from VASP
! - E_form: 2.956 eV/f.u.
! - Energy above the most stable polymorph in this dataset: 0 meV/atom
! - Final energy: -5.623 eV per atom
&SYSTEM
  ibrav = 0, nat = 5, ntyp = 3
/
ATOMIC_SPECIES
Sr 87.62 Sr.upf
Al 26.98 Al.upf
Zr 91.22 Zr.upf
CELL_PARAMETERS angstrom
5.251 0.000 0.000
0.000 5.251 0.000
0.000 0.000 5.251
ATOMIC_POSITIONS angstrom
Sr 2.626 2.626 2.626
Al 0.000 0.000 0.000
Zr 0.000 2.626 0.000
Zr 0.000 0.000 2.626
Zr 2.626 0.000 0.000

---

! SrZr4Al PBE optimized geometry; values from VASP
! - E_form: 2.385 eV/f.u.
! - Final energy: -6.205 eV per atom
&SYSTEM
  ibrav = 0, nat = 6, ntyp = 3
/
ATOMIC_SPECIES
Sr 87.62 Sr.upf
Zr 91.22 Zr.upf
Al 26.98 Al.upf
CELL_PARAMETERS angstrom
0.000 4.240 4.240
4.240 0.000 4.240
4.240 4.240 0.000
ATOMIC_POSITIONS angstrom
Sr 0.000 0.000 0.000
Zr 3.171 5.309 5.309
Zr 5.309 5.309 3.171
Zr 5.309 3.171 5.309
Zr 3.171 3.171 3.171
Al 6.360 6.360 6.360

---

Q: Which formula does entry 2 have?
A: SrZr4Al

---

Q: What is the formula in the second record?
A: SrZr4Al

---

Q: The highest E_form belongs to which entry?
A: SrZr3Al